Record 1
A plane-wave DFT calculation with PBE-GGA was carried out for a geometry-optimized ZnHgAu2 structure.

Values from the calculation:
The space group is Cmm2. As for the formation energy: 0.0182 eV/atom. For the spin magnetization, the calculation gives 0.0 μB/cell.

Cell lengths 3.013, 3.013, 8.145 Å; angles 90.00, 90.00, 91.61 degrees
Positions (direct):
Zn 0.500 0.500 0.772
Au 0.500 0.500 0.237
Au 0.000 0.000 0.981
Hg 0.000 0.000 0.510

Record 2
A plane-wave DFT calculation with PBE-GGA was carried out for a geometry-optimized ZnHgAu2 structure.

Values from the calculation:
The space group is R3m. As for the formation energy: -0.0203 eV/atom. For the spin magnetization, the calculation gives 0.0 μB/cell.

Cell lengths 4.344, 4.344, 5.557 Å; angles 66.99, 66.99, 60.00 degrees
Positions (direct):
Au 0.272 0.272 0.185
Au 0.060 0.060 0.819
Zn 0.675 0.675 0.974
Hg 0.493 0.493 0.522

Record 3
A plane-wave DFT calculation with PBE-GGA was carried out for a geometry-optimized ZnHgAu2 structure.

Values from the calculation:
The space group is Cmmm. As for the formation energy: 0.0299 eV/atom. For the spin magnetization, the calculation gives 0.0 μB/cell.

Cell lengths 5.061, 5.061, 3.034 Å; angles 89.96, 89.96, 108.68 degrees
Positions (direct):
Hg 0.500 0.000 0.500
Au 0.000 0.000 0.000
Au 0.500 0.500 0.000
Zn 0.000 0.500 0.500